(A)
Compound: CsZn
Source: Alexandria via LeMat-Bulk
Functional: PBE
Structure: optimized geometry

POSCAR file:
```
CsZn
1.0
7.694 0.000 0.000
0.000 7.694 0.000
0.000 0.000 7.694
Cs Zn
4 4
Direct
0.741 0.741 0.000
0.241 0.759 0.500
0.759 0.241 0.500
0.259 0.259 0.000
0.760 0.240 0.000
0.260 0.260 0.500
0.740 0.740 0.500
0.240 0.760 0.000
```

Properties
- total moment (μB per cell) = 0.0
- space-group type = No. 136

***

(B)
Compound: CsZn
Source: Alexandria via LeMat-Bulk
Functional: PBE
Structure: optimized geometry

POSCAR file:
```
CsZn
1.0
6.542 0.000 0.000
-3.271 5.665 0.000
0.000 0.000 7.623
Cs Zn
2 2
Direct
0.333 0.667 0.750
0.667 0.333 0.250
0.333 0.667 0.250
0.667 0.333 0.750
```

Properties
- total moment (μB per cell) = 0.0
- space-group type = No. 194

***

(C)
Compound: CsZn
Source: Alexandria via LeMat-Bulk
Functional: PBE
Structure: optimized geometry

POSCAR file:
```
CsZn
1.0
10.962 0.000 0.000
0.000 10.962 0.000
0.000 0.000 10.962
Cs Zn
8 8
Direct
0.288 0.288 0.288
0.288 0.712 0.712
0.712 0.288 0.712
0.712 0.712 0.288
0.788 0.788 0.788
0.788 0.212 0.212
0.212 0.788 0.212
0.212 0.212 0.788
0.087 0.087 0.087
0.087 0.913 0.913
0.913 0.087 0.913
0.913 0.913 0.087
0.587 0.587 0.587
0.587 0.413 0.413
0.413 0.587 0.413
0.413 0.413 0.587
```

Properties
- total moment (μB per cell) = 0.0
- space-group type = No. 217

***

(D)
Compound: CsZn
Source: Alexandria via LeMat-Bulk
Functional: PBE
Structure: optimized geometry

POSCAR file:
```
CsZn
1.0
13.973 0.000 0.000
0.000 13.973 0.000
0.000 0.000 4.860
Cs Zn
8 8
Direct
0.754 0.500 0.000
0.246 0.500 0.000
0.500 0.246 0.000
0.500 0.754 0.000
0.254 0.000 0.500
0.746 0.000 0.500
0.000 0.746 0.500
0.000 0.254 0.500
0.231 0.231 0.000
0.231 0.769 0.000
0.769 0.231 0.000
0.769 0.769 0.000
0.731 0.731 0.500
0.731 0.269 0.500
0.269 0.731 0.500
0.269 0.269 0.500
```

Properties
- total moment (μB per cell) = 0.0
- space-group type = No. 139

***

Short version: (D) is the most stable of them.

***

(A)
Compound: CsZn
Source: Alexandria via LeMat-Bulk
Functional: PBE
Structure: optimized geometry

POSCAR file:
```
CsZn
1.0
-4.441 -4.245 -5.941
4.603 -7.026 1.580
-5.669 -2.378 5.937
Cs Zn
4 4
Direct
0.000 0.000 0.000
0.000 0.500 0.500
0.500 0.000 0.500
0.500 0.500 0.000
0.250 0.250 0.250
0.250 0.750 0.750
0.750 0.250 0.750
0.750 0.750 0.250
```

Properties
- total moment (μB per cell) = 3.1
- space-group type = No. 216

***

(B)
Compound: CsZn
Source: Alexandria via LeMat-Bulk
Functional: PBE
Structure: optimized geometry

POSCAR file:
```
CsZn
1.0
11.235 0.000 0.000
0.000 17.978 0.000
0.000 0.000 7.645
Cs Zn
16 16
Direct
0.319 0.000 0.000
0.681 0.000 0.000
0.931 0.750 0.250
0.569 0.750 0.250
0.319 0.500 0.500
0.681 0.500 0.500
0.931 0.250 0.750
0.569 0.250 0.750
0.819 0.000 0.500
0.181 0.000 0.500
0.431 0.750 0.750
0.069 0.750 0.750
0.819 0.500 0.000
0.181 0.500 0.000
0.431 0.250 0.250
0.069 0.250 0.250
0.000 0.927 0.000
0.000 0.073 0.000
0.250 0.823 0.250
0.250 0.677 0.250
0.000 0.427 0.500
0.000 0.573 0.500
0.250 0.323 0.750
0.250 0.177 0.750
0.500 0.927 0.500
0.500 0.073 0.500
0.750 0.823 0.750
0.750 0.677 0.750
0.500 0.427 0.000
0.500 0.573 0.000
0.750 0.323 0.250
0.750 0.177 0.250
```

Properties
- total moment (μB per cell) = 0.0
- space-group type = No. 70

***

Short version: (B) is the most stable of them.

***

(A)
Compound: CsZn
Source: Alexandria via LeMat-Bulk
Functional: PBE
Structure: optimized geometry

POSCAR file:
```
CsZn
1.0
-4.514 -1.205 0.612
3.000 -11.626 -0.766
1.455 -0.294 10.150
Cs Zn
6 6
Direct
0.000 0.194 0.757
0.000 0.806 0.757
0.000 0.694 0.257
0.000 0.306 0.257
0.500 0.000 0.120
0.500 0.500 0.620
0.500 0.392 0.967
0.500 0.608 0.967
0.500 0.892 0.467
0.500 0.108 0.467
0.000 0.000 0.433
0.000 0.500 0.933
```

Properties
- total moment (μB per cell) = 0.0
- space-group type = No. 38

***

(B)
Compound: CsZn
Source: Alexandria via LeMat-Bulk
Functional: PBE
Structure: optimized geometry

POSCAR file:
```
CsZn
1.0
16.890 0.000 0.000
0.000 7.743 0.000
0.000 0.000 4.735
Cs Zn
6 6
Direct
0.779 0.231 0.000
0.279 0.769 0.500
0.721 0.769 0.500
0.221 0.231 0.000
0.000 0.557 0.500
0.500 0.443 0.000
0.575 0.957 0.000
0.075 0.043 0.500
0.925 0.043 0.500
0.425 0.957 0.000
0.000 0.075 0.000
0.500 0.925 0.500
```

Properties
- total moment (μB per cell) = 0.0
- space-group type = No. 59

***

Short version: (A) is the most stable of them.